# NpZn3Cl2O6

NpZn3Cl2O6 after structural relaxation (PBE, Alexandria).

## Properties
E_tot = -5.679 eV per atom
Formation energy (no corrections) = -17.947 eV per formula unit

a = 7.250 Å, b = 7.250 Å, c = 5.217 Å
α = 93.14°, β = 93.14°, γ = 47.81°
Element x y z (fractional)
Np 0.000 0.000 0.000
Zn 0.000 0.500 0.000
Zn 0.500 0.000 0.000
Zn 0.500 0.500 0.500
Cl 0.317 0.317 0.365
Cl 0.683 0.683 0.635
O 0.166 0.166 0.914
O 0.209 0.734 0.754
O 0.266 0.791 0.246
O 0.734 0.209 0.754
O 0.791 0.266 0.246
O 0.834 0.834 0.086


# NpPCl

NpPCl after structural relaxation (PBE, Alexandria).

## Properties
E_tot = -7.281 eV per atom
Formation energy (no corrections) = -1.646 eV per formula unit

a = 4.547 Å, b = 4.547 Å, c = 3.523 Å
α = 90.00°, β = 90.00°, γ = 120.00°
Element x y z (fractional)
Np 0.000 0.000 0.000
P 0.667 0.333 0.500
Cl 0.333 0.667 0.000